No. 1
A plane-wave DFT calculation with GGA-PBE was carried out for a relaxed Be3PbBr crystal.

Structure (POSCAR):
```
Be3PbBr
1.0
-4.667 1.300 -0.153
-1.284 -4.437 1.470
0.254 1.456 4.616
Pb Be Br
1 3 1
direct
0.000 0.000 0.000
0.500 0.000 0.000
0.000 0.500 0.000
0.000 0.000 0.500
0.500 0.500 0.500
```

Summary:
Relative energy among the computed polymorphs (meV per atom): 0.0
E_tot (eV per atom): -2.263

=====

No. 2
A plane-wave DFT calculation with GGA-PBE was carried out for a relaxed La2Nd3TaN6 crystal.

Structure (POSCAR):
```
La2Nd3TaN6
1.0
-2.418 5.529 -1.496
-3.466 -4.212 2.984
3.697 1.704 4.570
N Nd La Ta
6 3 2 1
direct
0.075 0.364 0.223
0.925 0.636 0.777
0.636 0.925 0.777
0.783 0.783 0.233
0.217 0.217 0.767
0.364 0.075 0.223
0.162 0.838 0.500
0.500 0.500 0.500
0.838 0.162 0.500
0.667 0.333 0.000
0.333 0.667 0.000
0.000 0.000 0.000
```

Summary:
E_tot (eV per atom): -8.460

=====

No. 3
A plane-wave DFT calculation with GGA-PBE was carried out for a relaxed TbSi4Pd6 crystal.

Structure (POSCAR):
```
TbSi4Pd6
1.0
-5.243 -3.563 -0.500
2.594 0.352 5.795
-0.776 6.249 -0.882
Si Pd Tb
4 6 1
direct
0.000 0.560 0.145
0.414 0.855 0.855
0.586 0.440 0.440
0.000 0.145 0.560
0.500 0.500 0.000
0.000 0.782 0.486
0.297 0.514 0.514
0.703 0.218 0.218
0.500 0.000 0.500
0.000 0.486 0.782
0.000 0.000 0.000
```

Summary:
Relative energy among the computed polymorphs (meV per atom): 207.8
E_tot (eV per atom): -5.813

=====

No. 4
A plane-wave DFT calculation with GGA-PBE was carried out for a relaxed Np4U2Ge3 crystal.

Structure (POSCAR):
```
Np4U2Ge3
1.0
5.123 -0.115 -0.363
2.362 4.310 1.227
-0.580 -0.408 8.113
Np U Ge
4 2 3
direct
0.632 0.647 0.978
0.030 0.143 0.346
0.368 0.353 0.022
0.970 0.857 0.654
0.304 0.461 0.305
0.696 0.539 0.695
0.667 0.799 0.327
0.333 0.201 0.673
0.000 0.000 0.000
```

Summary:
Energy relative to the elements (eV/atom): -0.189
E_tot (eV per atom): -9.988

=====

Asked for density of states at the Fermi level across the records above, the calculation gives 2.89; 2.13; 4.30; 20.39 states/eV/f.u. in order.